No. 1
## Ba6AgRu (GGA-PBE)

Data for an optimized crystal structure of Ba6AgRu.

The calculation puts the formation energy at 2.9 kJ per mole of atoms. The density of states at the Fermi level is 15.549 states/eV per cell.

The structure belongs to space group P-31c (No. 163); the cell edges are 7.8971, 7.8971 and 15.2631 Å and the angles 90.00°, 90.00° and 120.00°. The inequivalent atoms are Ba at (0.0057, 0.3171, 0.1173), Ag at (0.3333, 0.6667, 0.7500) and Ru at (0.0000, 0.0000, 0.0000).

=====

No. 2
## CsRb2AgF5 (GGA-PBE)

Data for an optimized crystal structure of CsRb2AgF5.

The density of states at the Fermi level is 8.476 states/eV per cell. The calculation puts the uncorrected formation energy at -2.206 eV/atom.

The structure belongs to space group Immm (No. 71); the cell edges are 4.3652, 6.6609 and 13.3751 Å and the angles 90.00°, 90.00° and 90.00°. The inequivalent atoms are Cs at (0.0000, 0.0000, 0.0000), Rb at (0.0000, 0.5000, 0.2123), Ag at (0.0000, 0.0000, 0.5000), F at (0.0000, 0.2355, 0.3741) and F at (0.0000, 0.5000, 0.0000).